Material: PaBrO2
Method: DFT, GGA-PBE
State: relaxed

For the relative energy among the computed polymorphs, the calculation gives 6 kJ/mol of formula units. The calculation puts the magnetic moment at 0.000 μB per formula unit. Its uncorrected formation energy is -2758.9 meV per atom. The calculation puts the volume at 17.1 A^3/atom. Its crystal system is trigonal.

The space group is R-3m (No. 166, hexagonal axes) and the conventional cell measures 3.7653, 3.7653 and 16.7068 Å, with angles of 90.00, 90.00 and 120.00 degrees. The distinct sites, in fractional coordinates, are Pa at (0.0000, 0.0000, 0.0000), Br at (0.0000, 0.0000, 0.5000) and O at (0.0000, 0.0000, 0.2986).